Entry 1:
Entry from Alexandria: an optimized crystal structure of PtCCl2 (GGA-PBE).

Cell: 6.358 6.358 5.721 Å, 56.25 56.25 90.00°
Site moments in Bohr magnetons follow the coordinates.
Positions (direct):
Cl: 0.613 0.125 0.250  -0.07
Cl: 0.375 0.387 0.750  -0.07
Cl: 0.137 0.625 0.250  -0.07
Cl: 0.875 0.863 0.750  -0.07
C: 0.250 0.750 0.500  0.30
C: 0.500 0.500 0.000  0.30
Pt: 0.750 0.250 0.500  -0.40
Pt: 0.000 0.000 0.000  -0.41

Excess energy over the best structure of this formula in the dataset, meV/atom: 344
Crystal system: tetragonal
Size of the total moment, μB per atom: 0.0000



Entry 2:
Entry from Alexandria: an optimized crystal structure of CaAlPd (GGA-PBE).

Cell: 7.450 7.450 6.699 Å, 107.88 107.88 116.60°
Positions (direct):
Ca: 0.625 0.375 0.250
Ca: 0.625 0.375 0.750
Ca: 0.625 0.875 0.250
Ca: 0.125 0.375 0.750
Al: 0.095 0.905 0.500
Al: 0.845 0.155 0.000
Al: 0.405 0.595 0.500
Al: 0.155 0.845 0.000
Pd: 0.397 0.897 0.793
Pd: 0.103 0.603 0.207
Pd: 0.853 0.853 0.707
Pd: 0.147 0.147 0.293

Crystal system: orthorhombic
Size of the total moment, μB per atom: 0.0702
Energy of formation, eV per atom: -0.5491



Entry 3:
Entry from Alexandria: an optimized crystal structure of Li2SiS (GGA-PBE).

Cell: 7.138 7.138 5.669 Å, 50.98 50.98 90.00°
Positions (direct):
Li: 0.071 0.625 0.250
Li: 0.375 0.321 0.750
Li: 0.679 0.125 0.250
Li: 0.875 0.929 0.750
S: 0.750 0.250 0.500
S: 0.000 0.000 0.000
Si: 0.500 0.500 0.000
Si: 0.250 0.750 0.500

Excess energy over the best structure of this formula in the dataset, meV/atom: 553
Crystal system: tetragonal
Size of the total moment, μB per atom: 0.0000



Entry 4:
Entry from Alexandria: an optimized crystal structure of RbN3F12 (GGA-PBE).

Cell: 9.196 9.196 9.139 Å, 59.79 59.79 60.00°
Site moments in Bohr magnetons follow the coordinates.
Positions (direct):
F: 0.994 0.026 0.457  0.01
F: 0.808 0.694 0.119  0.02
F: 0.511 0.867 0.828  0.03
F: 0.367 0.011 0.328  0.03
F: 0.026 0.523 0.457  0.01
F: 0.795 0.511 0.828  0.03
F: 0.672 0.619 0.505  0.45
F: 0.379 0.808 0.119  0.02
F: 0.879 0.194 0.619  0.02
F: 0.023 0.526 0.957  0.01
F: 0.705 0.119 0.005  0.45
F: 0.867 0.795 0.828  0.03
F: 0.011 0.295 0.328  0.03
F: 0.694 0.379 0.119  0.02
F: 0.308 0.879 0.619  0.02
F: 0.119 0.172 0.005  0.45
F: 0.619 0.205 0.505  0.45
F: 0.172 0.705 0.005  0.45
F: 0.205 0.672 0.505  0.45
F: 0.494 0.023 0.957  0.01
F: 0.194 0.308 0.619  0.02
F: 0.523 0.994 0.457  0.01
F: 0.295 0.367 0.328  0.03
F: 0.526 0.494 0.957  0.01
N: 0.201 0.451 0.457  0.09
N: 0.391 0.951 0.957  0.09
N: 0.951 0.701 0.957  0.09
N: 0.451 0.891 0.457  0.09
N: 0.701 0.391 0.957  0.09
N: 0.891 0.201 0.457  0.09
Rb: 0.928 0.928 0.217  0.00
Rb: 0.428 0.428 0.717  0.00

VASP energy, eV/atom: -3.62
Crystal system: trigonal
Size of the total moment, μB per atom: 0.1250



Entry 5:
Entry from Alexandria: an optimized crystal structure of LiMg14Fe (GGA-PBE).

Cell: 6.247 6.247 10.133 Å, 90.00 90.00 120.00°
Site moments in Bohr magnetons follow the coordinates.
Positions (direct):
Mg: 0.997 0.499 0.000  -0.01
Mg: 0.162 0.323 0.759  -0.01
Mg: 0.667 0.333 0.747  0.01
Mg: 0.162 0.838 0.241  -0.01
Mg: 0.677 0.838 0.241  -0.01
Mg: 0.501 0.003 0.000  -0.01
Mg: 0.498 0.502 0.500  0.00
Mg: 0.501 0.499 0.000  -0.01
Mg: 0.003 0.502 0.500  0.00
Mg: 0.162 0.838 0.759  -0.01
Mg: 0.498 0.997 0.500  0.00
Mg: 0.667 0.333 0.253  0.01
Mg: 0.677 0.838 0.759  -0.01
Mg: 0.162 0.323 0.241  -0.01
Li: 0.000 0.000 0.500  0.00
Fe: 0.000 0.000 0.000  2.74

Excess energy over the best structure of this formula in the dataset, meV/atom: 0
Crystal system: hexagonal
Size of the total moment, μB per atom: 0.1684
Energy of formation, eV per atom: 0.0542



Entry 6:
Entry from Alexandria: an optimized crystal structure of CdIrSe2 (GGA-PBE).

Cell: 4.736 4.736 4.732 Å, 68.66 74.24 111.37°
Positions (direct):
Cd: 0.000 0.500 0.500
Ir: 0.500 0.500 0.000
Se: 0.500 0.000 0.500
Se: 0.000 0.000 0.000

VASP energy, eV/atom: -3.88
Crystal system: tetragonal
Size of the total moment, μB per atom: 0.0000



| no. | V (Å³/cell) |
| --- | --- |
| 1 | 143.04 |
| 2 | 269.76 |
| 3 | 131.51 |
| 4 | 544.71 |
| 5 | 342.49 |
| 6 | 81.48 |